[1]
5
Lattice="-2.1095 4.0582 3.4302 -4.4526 0.6641 -3.5239 -2.8999 -3.9718 2.9156" Properties=species:S:1:pos:R:3 comment="PBE CsTl3Si, optimized geometry" spacegroup="No. 221" relative_energy_ev_per_fu=0.00 pbc="T T T"
Cs -4.7310 0.3753 1.4109
Si 0.0000 0.0000 0.0000
Tl -1.0547 2.0291 1.7151
Tl -2.2263 0.3320 -1.7620
Tl -1.4499 -1.9859 1.4578

=====

[2]
4
Lattice="1.2169 -2.2719 4.7508 -3.5379 -3.3078 2.3988 1.0170 -5.3010 0.2790" Properties=species:S:1:pos:R:3 comment="PBE CsTlSi2, optimized geometry" spacegroup="No. 225" pbc="T T T"
Tl -0.6520 -5.4403 3.7144
Cs 0.0000 0.0000 0.0000
Si -0.9780 -8.1605 5.5715
Si -0.3260 -2.7202 1.8572

=====

[3]
12
Lattice="-9.2461 -7.2720 -4.5158 2.5172 -1.6337 -2.5232 2.2155 -7.0062 6.7463" Properties=species:S:1:pos:R:3 comment="PBE CsTlSi, optimized geometry" spacegroup="No. 62" pbc="T T T"
Tl -2.0898 -9.0414 2.2460
Tl 2.1654 -3.1271 -0.3842
Tl -2.4237 -6.8704 -2.5388
Tl -6.6789 -12.7847 0.0914
Si -8.0139 -7.4960 -4.6646
Si 3.5005 -8.4159 4.3718
Si -2.4299 -6.8990 0.5196
Si -2.0836 -9.0128 -0.8124
Cs -1.8893 -2.9886 -1.4729
Cs -2.6241 -12.9233 1.1801
Cs 1.1947 -6.7441 0.9892
Cs -5.7082 -9.1678 -1.2819

=====

[4]
6
Lattice="4.6004 -0.0027 -0.8307 2.3192 6.0342 -0.4280 -0.9324 1.0406 7.9437" Properties=species:S:1:pos:R:3 comment="PBE CsTlSi, optimized geometry" spacegroup="No. 2" pbc="T T T"
Si 2.5250 5.3010 4.2281
Si 0.3224 1.5215 5.2049
Cs 5.3499 5.5512 6.6987
Cs 2.0980 1.2681 1.9037
Tl 4.6319 3.9191 2.7922
Tl 2.8159 2.9006 5.8102

=====

[5]
5
Lattice="6.3706 0.0000 0.0000 0.0000 6.3706 0.0000 0.0000 0.0000 6.3706" Properties=species:S:1:pos:R:3 comment="PBE CsTl3Si, optimized geometry" spacegroup="No. 221" relative_energy_ev_per_fu=5.45 pbc="T T T"
Cs 0.0000 0.0000 0.0000
Si 3.1853 3.1853 3.1853
Tl 0.0000 3.1853 0.0000
Tl 0.0000 0.0000 3.1853
Tl 3.1853 0.0000 0.0000

=====

[6]
6
Lattice="-11.2781 -12.8198 8.9972 -2.8871 -8.4379 4.9609 5.2724 8.5469 -1.8156" Properties=species:S:1:pos:R:3 comment="PBE CsTlSi, optimized geometry" spacegroup="No. 8" pbc="T T T"
Si -5.7069 -5.6422 7.0024
Si -9.4105 -12.7920 10.0589
Cs 2.8346 4.1169 0.1866
Cs -1.0825 -0.2615 3.3089
Tl -3.3388 -6.5110 5.2367
Tl -3.7548 -3.3418 5.4422

=====

[7]
6
Lattice="-2.3218 -0.4310 7.1439 -2.4830 -3.0778 -0.9927 4.4589 -5.2410 5.0969" Properties=species:S:1:pos:R:3 comment="PBE CsTlSi, optimized geometry" spacegroup="No. 38" pbc="T T T"
Si -0.0976 -2.0777 6.6863
Si -0.9160 -3.5380 4.8879
Tl -2.9933 -2.4565 6.7308
Tl -0.2758 -4.8865 7.4674
Cs 2.5950 -3.4199 4.1125
Cs -0.8170 -0.3690 3.1877

=====

[8]
4
Lattice="2.9328 -0.2321 4.8760 -0.9949 -4.1916 3.7244 3.8865 -4.0861 0.7934" Properties=species:S:1:pos:R:3 comment="PBE CsTl2Si, optimized geometry" spacegroup="No. 225" relative_energy_ev_per_fu=0.49 pbc="T T T"
Si 0.0000 0.0000 0.0000
Tl 4.3683 -6.3823 7.0454
Tl 1.4561 -2.1274 2.3485
Cs 2.9122 -4.2549 4.6969

=====

| no. | volume (Å³/cell) | ΔE_f (raw) (meV/atom) | magnetic moment (μB/cell) |
| --- | --- | --- | --- |
| 1 | 186.9 | 218 | 0.00 |
| 2 | 111.6 | 842 | 0.00 |
| 3 | 492.8 | 62 | 0.00 |
| 4 | 215.9 | 52 | 0.00 |
| 5 | 258.6 | 1308 | 0.00 |
| 6 | 215.6 | 111 | 0.00 |
| 7 | 236.0 | 59 | 0.00 |
| 8 | 130.6 | 364 | 0.00 |